[1]
The following is a DFT calculation (PBE) of crystalline Tl12BiAu7 at its relaxed geometry.

Lattice parameters (Å, degrees): 13.7545 13.7545 10.4617 90.00 90.00 120.00
Space group R-3 (No. 148, hexagonal axes)
Asymmetric unit:
Tl  0.0193  0.5891  0.2641 (multiplicity 18)
Tl  0.0591  0.8734  0.3106 (multiplicity 18)
Bi  0.0000  0.0000  0.0000 (multiplicity 3)
Au  0.0000  0.0000  0.5000 (multiplicity 3)
Au  0.0887  0.8689  0.8642 (multiplicity 18)

## Properties
- Calculated density: 11.7 g/cm3
- ΔH_f (0 K): -0.09 eV/f.u.
- Total magnetic moment: 0.000 μB per cell
- DOS at the Fermi energy: 0.4096 states/eV per atom


[2]
The following is a DFT calculation (PBE) of crystalline LiFe2Cl at its relaxed geometry.

Lattice parameters (Å, degrees): 3.1890 3.0678 6.2891 90.00 104.61 90.00
Space group Pm (No. 6)
Asymmetric unit:
Li  0.0000  0.0000  0.0000 (multiplicity 1)
Fe  0.2325  0.0000  0.4654 (multiplicity 1)
Fe  0.6462  0.5000  0.2927 (multiplicity 1)
Cl  0.4303  0.5000  0.8599 (multiplicity 1)

## Properties
- Calculated density: 4.3 g/cm3
- Total magnetic moment: 5.610 μB per cell
- DOS at the Fermi energy: 0.5822 states/eV per atom
- Energy above the lowest structure with this stoichiometry: 0.00 eV/f.u.


[3]
The following is a DFT calculation (PBE) of crystalline ZnGa2WN at its relaxed geometry.

Lattice parameters (Å, degrees): 4.3865 4.3865 3.7675 90.00 90.00 90.00
Space group P4/mmm (No. 123)
Asymmetric unit:
Zn  0.0000  0.0000  0.0000 (multiplicity 1)
Ga  0.0000  0.5000  0.5000 (multiplicity 2)
W  0.5000  0.5000  0.0000 (multiplicity 1)
N  0.0000  0.0000  0.5000 (multiplicity 1)

## Properties
- Calculated density: 9.2 g/cm3
- Total magnetic moment: 1.229 μB per cell
- DOS at the Fermi energy: 0.4597 states/eV per atom
- E: -4.890 eV per atom


[4]
The following is a DFT calculation (PBE) of crystalline Ti3Ni2Rh2 at its relaxed geometry.

Lattice parameters (Å, degrees): 8.1895 3.8714 6.3151 90.00 101.80 90.00
Space group C2/m (No. 12)
Asymmetric unit:
Ti  0.0000  0.0000  0.0000 (multiplicity 2)
Ti  0.0996  0.5000  0.6982 (multiplicity 4)
Ni  0.1354  0.0000  0.4325 (multiplicity 4)
Rh  0.1963  0.5000  0.1426 (multiplicity 4)

## Properties
- Calculated density: 7.9 g/cm3
- ΔH_f (0 K): -3.93 eV/f.u.
- Total magnetic moment: 0.000 μB per cell
- DOS at the Fermi energy: 0.7630 states/eV per atom


[5]
The following is a DFT calculation (PBE) of crystalline PrNp2N6 at its relaxed geometry.

Lattice parameters (Å, degrees): 5.8103 5.8103 4.7921 90.00 90.00 120.00
Space group P-31m (No. 162)
Asymmetric unit:
Pr  0.0000  0.0000  0.0000 (multiplicity 1)
Np  0.3333  0.6667  0.5000 (multiplicity 2)
N  0.0000  0.3668  0.2949 (multiplicity 6)

## Properties
- Calculated density: 8.3 g/cm3
- Total magnetic moment: 0.000 μB per cell
- DOS at the Fermi energy: 0.3553 states/eV per atom
- E: -9.584 eV per atom


[6]
The following is a DFT calculation (PBE) of crystalline Np2NbO8 at its relaxed geometry.

Lattice parameters (Å, degrees): 8.9234 6.9394 4.9806 90.00 105.17 90.00
Space group C2/m (No. 12)
Asymmetric unit:
Np  0.1909  0.0000  0.4478 (multiplicity 4)
Nb  0.0000  0.5000  0.0000 (multiplicity 2)
O  0.0891  0.0000  0.7367 (multiplicity 4)
O  0.1272  0.3089  0.2686 (multiplicity 8)
O  0.1687  0.5000  0.7897 (multiplicity 4)

## Properties
- Calculated density: 7.8 g/cm3
- Total magnetic moment: 6.000 μB per cell
- DOS at the Fermi energy: 1.1288 states/eV per atom
- Energy above the lowest structure with this stoichiometry: 0.00 eV/f.u.


[7]
The following is a DFT calculation (PBE) of crystalline MnCdSnCl6 at its relaxed geometry.

Lattice parameters (Å, degrees): 6.6816 6.6816 12.4011 90.00 90.00 120.00
Space group P-31c (No. 163)
Asymmetric unit:
Mn  0.3333  0.6667  0.2500 (multiplicity 2)
Cd  0.3333  0.6667  0.7500 (multiplicity 2)
Sn  0.0000  0.0000  0.0000 (multiplicity 2)
Cl  0.0141  0.3620  0.1328 (multiplicity 12)

## Properties
- Calculated density: 3.5 g/cm3
- Total magnetic moment: 10.000 μB per cell
- DOS at the Fermi energy: 0.0000 states/eV per atom
- E: -3.840 eV per atom


[8]
The following is a DFT calculation (PBE) of crystalline CeHfPdAu at its relaxed geometry.

Lattice parameters (Å, degrees): 7.0036 7.0036 7.0036 90.00 90.00 90.00
Space group F-43m (No. 216)
Asymmetric unit:
Ce  0.0000  0.0000  0.0000 (multiplicity 4)
Hf  0.0000  0.0000  0.5000 (multiplicity 4)
Pd  0.2500  0.2500  0.2500 (multiplicity 4)
Au  0.2500  0.2500  0.7500 (multiplicity 4)

## Properties
- Calculated density: 12.0 g/cm3
- ΔH_f (0 K): -1.79 eV/f.u.
- Total magnetic moment: 3.829 μB per cell
- DOS at the Fermi energy: 1.8335 states/eV per atom


[9]
The following is a DFT calculation (PBE) of crystalline CrFe2Cu at its relaxed geometry.

Lattice parameters (Å, degrees): 2.9797 2.9797 5.4429 90.00 90.00 90.00
Space group P4mm (No. 99)
Asymmetric unit:
Cr  0.0000  0.0000  0.0000 (multiplicity 1)
Fe  0.0000  0.0000  0.5170 (multiplicity 1)
Fe  0.5000  0.5000  0.7645 (multiplicity 1)
Cu  0.5000  0.5000  0.2695 (multiplicity 1)

## Properties
- Calculated density: 7.8 g/cm3
- ΔH_f (0 K): 0.84 eV/f.u.
- Total magnetic moment: 2.361 μB per cell
- DOS at the Fermi energy: 0.8578 states/eV per atom


[10]
The following is a DFT calculation (PBE) of crystalline Tb2Pm5HoEr at its relaxed geometry.

Lattice parameters (Å, degrees): 5.6351 20.2840 10.6639 90.00 90.00 90.00
Space group Cmc2_1 (No. 36)
Asymmetric unit:
Tb  0.0000  0.1122  0.0000 (multiplicity 4)
Tb  0.0000  0.1146  0.5748 (multiplicity 4)
Pm  0.0000  0.0163  0.2807 (multiplicity 4)
Pm  0.0000  0.2796  0.5744 (multiplicity 4)
Pm  0.0000  0.2981  0.9695 (multiplicity 4)
Pm  0.0000  0.3854  0.2842 (multiplicity 4)
Pm  0.0000  0.4824  0.0056 (multiplicity 4)
Ho  0.0000  0.1989  0.2731 (multiplicity 4)
Er  0.0000  0.4084  0.7245 (multiplicity 4)

## Properties
- Calculated density: 7.5 g/cm3
- ΔH_f (0 K): 1.28 eV/f.u.
- Total magnetic moment: 0.000 μB per cell
- DOS at the Fermi energy: 1.5786 states/eV per atom


[11]
The following is a DFT calculation (PBE) of crystalline TlTcMo2 at its relaxed geometry.

Lattice parameters (Å, degrees): 3.2341 4.7119 9.1459 90.00 90.00 90.00
Space group Cmmm (No. 65)
Asymmetric unit:
Tl  0.0000  0.0000  0.0000 (multiplicity 2)
Tc  0.0000  0.0000  0.5000 (multiplicity 2)
Mo  0.0000  0.5000  0.2738 (multiplicity 4)

## Properties
- Calculated density: 11.8 g/cm3
- ΔH_f (0 K): 2.15 eV/f.u.
- Total magnetic moment: 0.001 μB per cell
- DOS at the Fermi energy: 0.9792 states/eV per atom
- Energy above the lowest structure with this stoichiometry: 0.49 eV/f.u.


[12]
The following is a DFT calculation (PBE) of crystalline Ta2Ge2Pd at its relaxed geometry.

Lattice parameters (Å, degrees): 6.6597 6.6597 3.6947 90.00 90.00 90.00
Space group P4/mbm (No. 127)
Asymmetric unit:
Ta  0.1695  0.3305  0.0000 (multiplicity 4)
Ge  0.1337  0.6337  0.5000 (multiplicity 4)
Pd  0.0000  0.0000  0.5000 (multiplicity 2)

## Properties
- Calculated density: 12.4 g/cm3
- ΔH_f (0 K): -0.89 eV/f.u.
- Total magnetic moment: 0.000 μB per cell
- DOS at the Fermi energy: 0.5798 states/eV per atom


[13]
The following is a DFT calculation (PBE) of crystalline K2Li2UO6 at its relaxed geometry.

Lattice parameters (Å, degrees): 5.4832 5.4832 6.1310 90.00 90.00 120.00
Space group P-31m (No. 162)
Asymmetric unit:
K  0.3333  0.6667  0.0000 (multiplicity 2)
Li  0.3333  0.6667  0.5000 (multiplicity 2)
U  0.0000  0.0000  0.5000 (multiplicity 1)
O  0.0000  0.3125  0.6785 (multiplicity 6)

## Properties
- Calculated density: 4.4 g/cm3
- Total magnetic moment: 1.802 μB per cell
- DOS at the Fermi energy: 0.6233 states/eV per atom
- E: -6.324 eV per atom


[14]
The following is a DFT calculation (PBE) of crystalline ScHg2Ir at its relaxed geometry.

Lattice parameters (Å, degrees): 4.0994 4.3804 8.4915 90.00 90.00 90.00
Space group Imm2 (No. 44)
Asymmetric unit:
Sc  0.0000  0.0000  0.0000 (multiplicity 2)
Hg  0.0000  0.0000  0.5183 (multiplicity 2)
Hg  0.0000  0.5000  0.7597 (multiplicity 2)
Ir  0.0000  0.5000  0.2784 (multiplicity 2)

## Properties
- Calculated density: 13.9 g/cm3
- ΔH_f (0 K): -0.63 eV/f.u.
- Total magnetic moment: 0.000 μB per cell
- DOS at the Fermi energy: 0.5624 states/eV per atom
- Energy above the lowest structure with this stoichiometry: 0.50 eV/f.u.


[15]
The following is a DFT calculation (PBE) of crystalline CsCa2Rh at its relaxed geometry.

Lattice parameters (Å, degrees): 7.8446 7.8446 7.8446 90.00 90.00 90.00
Space group Fm-3m (No. 225)
Asymmetric unit:
Cs  0.0000  0.0000  0.0000 (multiplicity 4)
Ca  0.2500  0.2500  0.2500 (multiplicity 8)
Rh  0.0000  0.0000  0.5000 (multiplicity 4)

## Properties
- Calculated density: 4.3 g/cm3
- ΔH_f (0 K): 1.32 eV/f.u.
- Total magnetic moment: 0.001 μB per cell
- DOS at the Fermi energy: 0.5993 states/eV per atom
- Energy above the lowest structure with this stoichiometry: 0.93 eV/f.u.


[16]
The following is a DFT calculation (PBE) of crystalline Mn4AlAg at its relaxed geometry.

Lattice parameters (Å, degrees): 6.7835 6.7835 6.7835 90.00 90.00 90.00
Space group F-43m (No. 216)
Asymmetric unit:
Mn  0.1240  0.1240  0.1240 (multiplicity 16)
Al  0.2500  0.2500  0.7500 (multiplicity 4)
Ag  0.0000  0.0000  0.5000 (multiplicity 4)

## Properties
- Calculated density: 7.5 g/cm3
- ΔH_f (0 K): 1.66 eV/f.u.
- Total magnetic moment: 19.984 μB per cell
- DOS at the Fermi energy: 1.6025 states/eV per atom


[17]
The following is a DFT calculation (PBE) of crystalline NaLa4Ho3S8 at its relaxed geometry.

Lattice parameters (Å, degrees): 8.0453 8.0453 19.9154 90.00 90.00 120.00
Space group R-3m (No. 166, hexagonal axes)
Asymmetric unit:
Na  0.0000  0.0000  0.0000 (multiplicity 3)
La  0.0000  0.0000  0.5000 (multiplicity 3)
La  0.0000  0.5000  0.5000 (multiplicity 9)
Ho  0.0000  0.5000  0.0000 (multiplicity 9)
S  0.0000  0.0000  0.2572 (multiplicity 6)
S  0.0038  0.5019  0.2567 (multiplicity 18)

## Properties
- Calculated density: 5.9 g/cm3
- Total magnetic moment: 0.007 μB per cell
- DOS at the Fermi energy: 0.6926 states/eV per atom
- E: -6.250 eV per atom


[18]
The following is a DFT calculation (PBE) of crystalline NdTmSc2Cd4 at its relaxed geometry.

Lattice parameters (Å, degrees): 5.1745 5.1745 25.4936 90.00 90.00 120.00
Space group R-3m (No. 166, hexagonal axes)
Asymmetric unit:
Nd  0.0000  0.0000  0.0000 (multiplicity 3)
Tm  0.0000  0.0000  0.5000 (multiplicity 3)
Sc  0.0000  0.0000  0.2487 (multiplicity 6)
Cd  0.0000  0.0000  0.1271 (multiplicity 6)
Cd  0.0000  0.0000  0.3780 (multiplicity 6)

## Properties
- Calculated density: 7.2 g/cm3
- ΔH_f (0 K): -2.28 eV/f.u.
- Total magnetic moment: 1.575 μB per cell
- DOS at the Fermi energy: 0.9993 states/eV per atom


[19]
The following is a DFT calculation (PBE) of crystalline Na2BeInP at its relaxed geometry.

Lattice parameters (Å, degrees): 5.1295 5.1295 4.5902 90.00 90.00 90.00
Space group P4/mmm (No. 123)
Asymmetric unit:
Na  0.0000  0.5000  0.0000 (multiplicity 2)
Be  0.0000  0.0000  0.0000 (multiplicity 1)
In  0.0000  0.0000  0.5000 (multiplicity 1)
P  0.5000  0.5000  0.5000 (multiplicity 1)

## Properties
- Calculated density: 2.8 g/cm3
- ΔH_f (0 K): 2.52 eV/f.u.
- Total magnetic moment: 0.122 μB per cell
- DOS at the Fermi energy: 0.3442 states/eV per atom


[20]
The following is a DFT calculation (PBE) of crystalline ReSiSe2Br at its relaxed geometry.

Lattice parameters (Å, degrees): 4.7717 4.7717 5.1299 90.00 90.00 90.00
Space group P4/mmm (No. 123)
Asymmetric unit:
Re  0.0000  0.0000  0.0000 (multiplicity 1)
Si  0.0000  0.0000  0.5000 (multiplicity 1)
Se  0.0000  0.5000  0.5000 (multiplicity 2)
Br  0.5000  0.5000  0.0000 (multiplicity 1)

## Properties
- Calculated density: 6.4 g/cm3
- Total magnetic moment: 3.988 μB per cell
- DOS at the Fermi energy: 0.8037 states/eV per atom
- Energy above the lowest structure with this stoichiometry: 1.72 eV/f.u.


[21]
The following is a DFT calculation (PBE) of crystalline NiTeOs2 at its relaxed geometry.

Lattice parameters (Å, degrees): 2.9269 2.9269 7.4406 90.00 90.00 90.00
Space group P4mm (No. 99)
Asymmetric unit:
Ni  0.0000  0.0000  0.0000 (multiplicity 1)
Te  0.5000  0.5000  0.7523 (multiplicity 1)
Os  0.0000  0.0000  0.4527 (multiplicity 1)
Os  0.5000  0.5000  0.2382 (multiplicity 1)

## Properties
- Calculated density: 14.8 g/cm3
- Total magnetic moment: 0.000 μB per cell
- DOS at the Fermi energy: 1.0352 states/eV per atom
- E: -7.277 eV per atom


[22]
The following is a DFT calculation (PBE) of crystalline TcSnGeRh at its relaxed geometry.

Lattice parameters (Å, degrees): 6.3379 6.3379 6.3379 90.00 90.00 90.00
Space group F-43m (No. 216)
Asymmetric unit:
Tc  0.0000  0.0000  0.0000 (multiplicity 4)
Sn  0.2500  0.2500  0.7500 (multiplicity 4)
Ge  0.2500  0.2500  0.2500 (multiplicity 4)
Rh  0.0000  0.0000  0.5000 (multiplicity 4)

## Properties
- Calculated density: 10.2 g/cm3
- ΔH_f (0 K): -0.55 eV/f.u.
- Total magnetic moment: 0.000 μB per cell
- DOS at the Fermi energy: 0.4391 states/eV per atom


[23]
The following is a DFT calculation (PBE) of crystalline HfOsS2 at its relaxed geometry.

Lattice parameters (Å, degrees): 4.4654 4.4654 14.5131 90.00 90.00 90.00
Space group I-42d (No. 122)
Asymmetric unit:
Hf  0.0000  0.0000  0.0000 (multiplicity 4)
Os  0.0000  0.0000  0.5000 (multiplicity 4)
S  0.2190  0.2500  0.6250 (multiplicity 8)

## Properties
- Calculated density: 9.9 g/cm3
- Total magnetic moment: 0.000 μB per cell
- DOS at the Fermi energy: 0.3709 states/eV per atom
- Energy above the lowest structure with this stoichiometry: 0.00 eV/f.u.


[24]
The following is a DFT calculation (PBE) of crystalline MnAlCrHg2 at its relaxed geometry.

Lattice parameters (Å, degrees): 5.0912 5.0912 4.7639 90.00 90.00 90.00
Space group P4/mmm (No. 123)
Asymmetric unit:
Mn  0.0000  0.0000  0.0000 (multiplicity 1)
Al  0.5000  0.5000  0.0000 (multiplicity 1)
Cr  0.5000  0.5000  0.5000 (multiplicity 1)
Hg  0.0000  0.5000  0.5000 (multiplicity 2)

## Properties
- Calculated density: 7.2 g/cm3
- ΔH_f (0 K): 7.21 eV/f.u.
- Total magnetic moment: 3.421 μB per cell
- DOS at the Fermi energy: 1.1926 states/eV per atom


[25]
The following is a DFT calculation (PBE) of crystalline Mg2TiSiTe at its relaxed geometry.

Lattice parameters (Å, degrees): 5.3799 5.3799 5.0537 90.00 90.00 90.00
Space group P4/mmm (No. 123)
Asymmetric unit:
Mg  0.0000  0.5000  0.0000 (multiplicity 2)
Ti  0.0000  0.0000  0.0000 (multiplicity 1)
Si  0.5000  0.5000  0.5000 (multiplicity 1)
Te  0.0000  0.0000  0.5000 (multiplicity 1)

## Properties
- Calculated density: 2.9 g/cm3
- Total magnetic moment: 1.376 μB per cell
- DOS at the Fermi energy: 0.8581 states/eV per atom
- E: -3.109 eV per atom